Entry from Alexandria via LeMat-Bulk: a geometry-optimized Ag2SnSe2 structure (GGA-PBE).

Computed properties:
Fermi-level density of states: 0.003 states/eV per atom
total moment: 0.000 μB per atom
formation energy from raw total energies: -0.13 eV per atom
final energy: -3.465 eV/atom
SG: No. 15

a b c (Å): 7.7972 7.7972 6.0157
angles (deg): 110.65 110.65 112.18
With the nearest neighbours (Å) after each atom.
Positions (direct):
Ag (0.1475, 0.2157, 0.0696)  3 Se 2.58-2.78, 1 Ag 2.85
Ag (0.2157, 0.1475, 0.5696)  3 Se 2.58-2.78, 1 Ag 2.85
Ag (0.7843, 0.8525, 0.4304)  3 Se 2.58-2.78, 1 Ag 2.85
Ag (0.8525, 0.7843, 0.9304)  3 Se 2.58-2.78, 1 Ag 2.85
Sn (0.3723, 0.6277, 0.7500)  4 Se 3.01-3.36, 2 Ag 3.07
Sn (0.6277, 0.3723, 0.2500)  4 Se 3.01-3.36, 2 Ag 3.07
Se (0.1396, 0.8604, 0.7500)  4 Ag 2.72-2.78, 1 Sn 3.01
Se (0.3684, 0.6316, 0.2500)  2 Ag 2.58
Se (0.6316, 0.3684, 0.7500)  2 Ag 2.58
Se (0.8604, 0.1396, 0.2500)  4 Ag 2.72-2.78, 1 Sn 3.01